Density functional theory data (PBE-GGA) for a relaxed RbAuBr4 crystal.

Output
As for the crystal system: monoclinic. Its calculated total energy is -2.5507 eV/atom. Its symmetry is No. 14.

```
RbAuBr4
1.0
7.498 0.000 0.000
0.000 6.203 0.000
-5.479 0.000 8.836
Rb Au Br
2 2 8
Direct
0.000 0.000 0.000
0.000 0.500 0.500
0.500 0.000 0.500
0.500 0.500 0.000
0.116 0.017 0.380
0.116 0.483 0.880
0.458 0.700 0.328
0.458 0.800 0.828
0.542 0.200 0.172
0.542 0.300 0.672
0.884 0.517 0.120
0.884 0.983 0.620
```



Density functional theory data (PBE-GGA) for a relaxed Hg12SbBrCl2O6 crystal.

Output
As for the crystal system: triclinic. Its calculated total energy is -2.3838 eV/atom. Its symmetry is No. 1.

```
Hg12SbBrCl2O6
1.0
9.648 0.000 0.000
0.000 13.980 0.000
0.001 6.990 12.109
Hg Sb Br Cl O
36 3 3 6 18
Direct
0.000 0.000 0.000
0.000 0.058 0.512
0.000 0.488 0.570
0.021 0.369 0.196
0.021 0.493 0.880
0.021 0.685 0.005
0.114 0.309 0.394
0.114 0.355 0.821
0.115 0.882 0.867
0.137 0.668 0.443
0.137 0.931 0.459
0.137 0.948 0.179
0.310 0.175 0.232
0.310 0.651 0.686
0.311 0.720 0.163
0.347 0.058 0.620
0.347 0.380 0.570
0.348 0.108 0.892
0.445 0.329 0.037
0.445 0.692 0.840
0.446 0.526 0.201
0.451 0.090 0.426
0.451 0.542 0.602
0.451 0.914 0.054
0.660 0.027 0.209
0.660 0.698 0.333
0.660 0.822 0.539
0.691 0.367 0.321
0.691 0.371 0.878
0.691 0.809 0.882
0.785 0.216 0.136
0.785 0.625 0.217
0.785 0.706 0.728
0.786 0.002 0.737
0.786 0.225 0.831
0.786 0.319 0.514
0.063 0.182 0.694
0.404 0.849 0.360
0.737 0.516 0.027
0.218 0.515 0.027
0.583 0.182 0.694
0.905 0.849 0.360
0.085 0.201 0.109
0.085 0.597 0.260
0.085 0.749 0.712
0.734 0.126 0.410
0.734 0.522 0.638
0.734 0.899 0.033
0.186 0.047 0.752
0.186 0.241 0.770
0.186 0.259 0.559
0.277 0.769 0.308
0.277 0.796 0.492
0.277 0.981 0.281
0.530 0.717 0.448
0.530 0.893 0.229
0.530 0.936 0.405
0.622 0.411 0.157
0.623 0.490 0.923
0.623 0.646 0.001
0.871 0.386 0.065
0.871 0.554 0.118
0.871 0.607 0.898
0.930 0.101 0.824
0.930 0.133 0.612
0.930 0.313 0.645
```